The following is a DFT calculation (PBE) of Dy4S2N after structural relaxation.

Geometry as POSCAR:
```
Dy4S2N
1.0
3.6368 0.0000 0.5285
1.7800 3.1714 0.5285
-0.0017 -0.0010 12.7897
Dy S N
4 2 1
Direct
0.1286 0.1286 0.6142
0.2985 0.2985 0.1046
0.7015 0.7015 0.8954
0.8714 0.8714 0.3858
0.4146 0.4146 0.7561
0.5854 0.5854 0.2439
0.0000 0.0000 0.0000
```

Space group: No. 166
Volume: 21.1 A^3/atom
Formation energy from raw total energies: -1.599 eV/atom